Record 1
Entry from Alexandria via LeMat-Bulk: a PBEsol-optimized structure of CaTl2In (meta-GGA SCAN).

CIF file:
```
data_CaTl2In
_chemical_formula_sum 'Ca2 Tl4 In2'
_symmetry_space_group_name_H-M 'I 4/m m m'
_symmetry_Int_Tables_number 139
_symmetry_space_group_name_Hall '-I 4 2'
_cell_length_a 4.7704
_cell_length_b 4.7704
_cell_length_c 9.2739
_cell_angle_alpha 90.00
_cell_angle_beta 90.00
_cell_angle_gamma 90.00
loop_
_atom_site_label
_atom_site_type_symbol
_atom_site_fract_x
_atom_site_fract_y
_atom_site_fract_z
_atom_site_occupancy
Ca1 Ca 0.0000 0.0000 0.0000 1
Tl1 Tl 0.0000 0.5000 0.2500 1
In1 In 0.0000 0.0000 0.5000 1
```

Properties
As for the formation energy: -0.3176 eV/atom. For the final energy, the calculation gives -47.26 eV/atom.

***

Record 2
Entry from Alexandria via LeMat-Bulk: a PBEsol-optimized structure of AlSb2Mo (meta-GGA SCAN).

CIF file:
```
data_AlSb2Mo
_chemical_formula_sum 'Al2 Sb4 Mo2'
_symmetry_space_group_name_H-M 'C 1 m 1'
_symmetry_Int_Tables_number 8
_symmetry_space_group_name_Hall 'C -2y'
_cell_length_a 8.7362
_cell_length_b 3.4695
_cell_length_c 6.2920
_cell_angle_alpha 90.00
_cell_angle_beta 108.78
_cell_angle_gamma 90.00
loop_
_atom_site_label
_atom_site_type_symbol
_atom_site_fract_x
_atom_site_fract_y
_atom_site_fract_z
_atom_site_occupancy
Al1 Al 0.0000 0.0000 0.0000 1
Sb1 Sb 0.0068 0.5000 0.6530 1
Sb2 Sb 0.2742 0.5000 0.2204 1
Mo1 Mo 0.2575 0.0000 0.8681 1
```

Properties
For the raw formation energy, the calculation gives 0.826 eV/f.u. For the final energy, the calculation gives -29.08 eV/atom.

***

Record 3
Entry from Alexandria via LeMat-Bulk: a PBEsol-optimized structure of BaScZn2 (meta-GGA SCAN).

CIF file:
```
data_BaScZn2
_chemical_formula_sum 'Ba1 Sc1 Zn2'
_symmetry_space_group_name_H-M 'P 4/m m m'
_symmetry_Int_Tables_number 123
_symmetry_space_group_name_Hall '-P 4 2'
_cell_length_a 3.5390
_cell_length_b 3.5390
_cell_length_c 7.5478
_cell_angle_alpha 90.00
_cell_angle_beta 90.00
_cell_angle_gamma 90.00
loop_
_atom_site_label
_atom_site_type_symbol
_atom_site_fract_x
_atom_site_fract_y
_atom_site_fract_z
_atom_site_occupancy
Ba1 Ba 0.0000 0.0000 0.0000 1
Sc1 Sc 0.0000 0.0000 0.5000 1
Zn1 Zn 0.5000 0.5000 0.3182 1
```

Properties
The excess energy over the best structure of this formula in the dataset is 0.0000 eV per atom. As for the formation energy: -0.2562 eV/atom. For the final energy, the calculation gives -20.46 eV/atom.